Computed, not measured: an optimized crystal structure of Sc5SnPt6 at the GGA-PBE level of DFT.

It has space group Immm (No. 71), with a = 4.6803 Å, b = 6.5475 Å, c = 14.1616 Å, α = 90.00°, β = 90.00° and γ = 90.00°. The inequivalent atoms are Sc at (0.0000, 0.0000, 0.0000), Sc at (0.0000, 0.0000, 0.3379), Sc at (0.0000, 0.5000, 0.3326), Sn at (0.0000, 0.5000, 0.0000), Pt at (0.0000, 0.2432, 0.1745) and Pt at (0.0000, 0.2686, 0.5000).

The formation energy comes out at -1.15 eV/atom.